An optimized crystal structure of LiNi2S3O12, computed with GGA-PBEsol.

a = 8.3970 Å, b = 8.3970 Å, c = 8.3970 Å
α = 60.48°, β = 60.48°, γ = 60.48°
Sites, in units of the cell vectors:
1 Li 0.0000 0.0000 0.0000
2 Li 0.5000 0.5000 0.5000
3 Ni 0.1425 0.1425 0.1425
4 Ni 0.3575 0.3575 0.3575
5 Ni 0.6425 0.6425 0.6425
6 Ni 0.8575 0.8575 0.8575
7 S 0.0458 0.7500 0.4542
8 S 0.2500 0.5458 0.9542
9 S 0.4542 0.0458 0.7500
10 S 0.5458 0.9542 0.2500
11 S 0.7500 0.4542 0.0458
12 S 0.9542 0.2500 0.5458
13 O 0.0091 0.8146 0.6062
14 O 0.0608 0.9093 0.2634
15 O 0.0907 0.7366 0.9392
16 O 0.1062 0.3146 0.5091
17 O 0.1853 0.3938 0.9909
18 O 0.2366 0.5907 0.4392
19 O 0.2634 0.0608 0.9093
20 O 0.3146 0.5091 0.1062
21 O 0.3938 0.9909 0.1853
22 O 0.4093 0.5608 0.7634
23 O 0.4392 0.2366 0.5907
24 O 0.4909 0.8938 0.6853
25 O 0.5091 0.1062 0.3146
26 O 0.5608 0.7634 0.4093
27 O 0.5907 0.4392 0.2366
28 O 0.6062 0.0091 0.8146
29 O 0.6853 0.4909 0.8938
30 O 0.7366 0.9392 0.0907
31 O 0.7634 0.4093 0.5608
32 O 0.8146 0.6062 0.0091
33 O 0.8938 0.6854 0.4909
34 O 0.9093 0.2634 0.0608
35 O 0.9392 0.0907 0.7366
36 O 0.9909 0.1853 0.3938

Results
Energy = -6.28 eV/atom
Uncorrected formation energy = -22.6 eV/f.u.